First-principles (PBE-GGA) data for crystalline TiMo3Se at its relaxed geometry, as listed in Alexandria via LeMat-Bulk.

Output
Energy   -7.814 eV per atom
Energy relative to the elements, uncorrected   4.8 eV per formula unit
Mass density   7.13 Mg/m³

Cell: 4.587 4.587 4.587 Å, 90.00 90.00 90.00°
Space group Pm-3m (No. 221)
One atom of each set of equivalent atoms:
Ti 0.000 0.000 0.000 [1 per cell]
Mo 0.000 0.500 0.500 [3 per cell]
Se 0.500 0.500 0.500 [1 per cell]

=====

First-principles (PBE-GGA) data for crystalline TiMo6Se8 at its relaxed geometry, as listed in Alexandria via LeMat-Bulk.

Output
Energy   -7.243 eV per atom
Energy relative to the elements, uncorrected   -7.9 eV per formula unit
Mass density   7.03 Mg/m³

Cell: 9.4681 9.4681 11.4621 Å, 90.00 90.00 120.00°
Space group R-3 (No. 148, hexagonal axes)
One atom of each set of equivalent atoms:
Ti 0.0000 0.0000 0.0000 [3 per cell]
Mo 0.0224 0.8479 0.4009 [18 per cell]
Se 0.0000 0.0000 0.2254 [6 per cell]
Se 0.0111 0.3885 0.7486 [18 per cell]

=====

First-principles (PBE-GGA) data for crystalline TiMo3Se at its relaxed geometry, as listed in Alexandria via LeMat-Bulk.

Output
Energy   -7.198 eV per atom
Energy relative to the elements, uncorrected   7.9 eV per formula unit
Mass density   6.99 Mg/m³

Cell: 4.618 4.618 4.618 Å, 90.00 90.00 90.00°
Space group Pm-3m (No. 221)
One atom of each set of equivalent atoms:
Ti 0.000 0.000 0.000 [1 per cell]
Mo 0.000 0.000 0.500 [3 per cell]
Se 0.500 0.500 0.500 [1 per cell]

=====

First-principles (PBE-GGA) data for crystalline Ti2MoSe at its relaxed geometry, as listed in Alexandria via LeMat-Bulk.

Output
Energy   -7.417 eV per atom
Energy relative to the elements, uncorrected   0.4 eV per formula unit
Mass density   6.57 Mg/m³

Cell: 7.081 7.081 5.457 Å, 90.00 90.00 90.00°
Space group I-42d (No. 122)
One atom of each set of equivalent atoms:
Ti 0.238 0.250 0.125 [8 per cell]
Mo 0.000 0.000 0.500 [4 per cell]
Se 0.000 0.000 0.000 [4 per cell]